The following is a GGA-PBE calculation of a relaxed KZnRe crystal, from Alexandria via LeMat-Bulk.

```
KZnRe
1.0
0.000 3.400 3.400
3.400 0.000 3.400
3.400 3.400 0.000
K Zn Re
1 1 1
Direct
0.000 0.000 0.000
0.750 0.750 0.750
0.500 0.500 0.500
```

Computed properties:
calculated volume = 26.210 Å³/atom
total moment = 3.242 μB/cell
ΔH_f (0 K) = 1.826 eV/atom
Fermi-level density of states = 3.14 states/eV/cell